(1)
A relaxed CaHf2Cr crystal. Source: Alexandria via LeMat-Bulk, functional PBE.

Geometry as extended XYZ:
```
4
Lattice="0.0000 3.4896 3.4896 3.4896 0.0000 3.4896 3.4896 3.4896 0.0000" Properties=species:S:1:pos:R:3 pbc="T T T"
Cr 3.4896 3.4896 3.4896
Ca 0.0000 0.0000 0.0000
Hf 1.7448 1.7448 1.7448
Hf 5.2344 5.2344 5.2344
```

## Properties
crystal system: cubic
ΔE to the lowest computed polymorph: 0 meV/atom


(2)
A relaxed KCaHfCr2 crystal. Source: Alexandria via LeMat-Bulk, functional PBE.

Geometry as extended XYZ:
```
5
Lattice="-2.8647 1.4836 -3.2416 -3.3320 -3.3920 1.3921 -1.8025 2.9850 2.9591" Properties=species:S:1:pos:R:3 pbc="T T T"
Cr -0.9013 1.4925 1.4795
Cr -1.4323 0.7418 -1.6208
Ca -3.9996 0.5383 0.5548
Hf -1.6660 -1.6960 0.6960
K 0.0000 0.0000 0.0000
```

## Properties
crystal system: tetragonal


no.,uncorrected energy (eV per atom)
1,-7.265
2,-3.982